[1]
8
Lattice="4.4765 0.0000 0.0000 0.0000 6.9550 0.0000 0.0000 0.0000 5.5320" Properties=species:S:1:pos:R:3 comment="PBE YLuPt2, relaxed" dft_energy_ev_per_atom=-7.0773 e_form_ev_per_atom=-1.302 magnetic_moment_mub_per_atom=0.000 pbc="T T T"
Y 0.0000 0.4782 0.0000
Y 2.2382 6.4768 2.7660
Lu 0.0000 3.9578 1.2008
Lu 2.2382 2.9973 3.9668
Pt 0.0000 1.5207 2.8463
Pt 0.0000 4.8293 3.8867
Pt 2.2382 2.1258 1.1207
Pt 2.2382 5.4343 0.0803



[2]
3
Lattice="0.0000 3.5229 3.5229 3.5229 0.0000 3.5229 3.5229 3.5229 0.0000" Properties=species:S:1:pos:R:3 comment="PBE SrThOs, relaxed" dft_energy_ev_per_atom=-6.5501 magnetic_moment_mub_per_atom=0.000 pbc="T T T"
Sr 0.0000 0.0000 0.0000
Th 3.5229 3.5229 3.5229
Os 1.7615 1.7615 1.7615



[3]
4
Lattice="0.0000 3.1850 3.1850 3.1850 0.0000 3.1850 3.1850 3.1850 0.0000" Properties=species:S:1:pos:R:3 comment="PBE SrBeBAu, relaxed" dft_energy_ev_per_atom=-3.2308 pbc="T T T"
Sr 0.0000 0.0000 0.0000
Be 4.7776 4.7776 4.7776
B 1.5925 1.5925 1.5925
Au 3.1850 3.1850 3.1850



[4]
4
Lattice="0.0000 3.5622 3.5622 3.5622 0.0000 3.5622 3.5622 3.5622 0.0000" Properties=species:S:1:pos:R:3 comment="PBE RbCuTePd, relaxed" dft_energy_ev_per_atom=-3.0759 pbc="T T T"
Rb 0.0000 0.0000 0.0000
Cu 5.3433 5.3433 5.3433
Te 3.5622 3.5622 3.5622
Pd 1.7811 1.7811 1.7811



[5]
8
Lattice="3.9629 -5.6035 0.0000 3.9629 5.6035 0.0000 0.0000 0.0000 3.9699" Properties=species:S:1:pos:R:3 comment="PBE LiSm3S4, relaxed" dft_energy_ev_per_atom=-6.0009 magnetic_moment_mub_per_atom=0.001 pbc="T T T"
Li 0.0000 0.0000 0.0000
Sm 1.9814 2.8018 1.9849
Sm 1.9814 -2.8018 1.9849
Sm 3.9629 0.0000 0.0000
S 1.9289 0.0000 1.9849
S 3.9629 2.8615 0.0000
S 3.9629 -2.8615 0.0000
S 5.9968 0.0000 1.9849



[6]
4
Lattice="0.0000 3.2772 3.2772 3.2772 0.0000 3.2772 3.2772 3.2772 0.0000" Properties=species:S:1:pos:R:3 comment="PBE YMgGaCo, relaxed" dft_energy_ev_per_atom=-4.6302 magnetic_moment_mub_per_atom=0.227 pbc="T T T"
Y 0.0000 0.0000 0.0000
Mg 1.6386 1.6386 1.6386
Ga 3.2772 3.2772 3.2772
Co 4.9157 4.9157 4.9157



[7]
6
Lattice="3.9139 0.0000 0.0000 0.0000 3.9139 0.0000 0.0000 0.0000 9.0859" Properties=species:S:1:pos:R:3 comment="PBE DyHoI2O2, relaxed" dft_energy_ev_per_atom=-6.4195 magnetic_moment_mub_per_atom=0.001 pbc="T T T"
Dy 0.0000 0.0000 0.0000
Ho 1.9569 1.9569 2.1875
I 0.0000 0.0000 4.0755
I 1.9569 1.9569 7.1999
O 0.0000 1.9569 1.1033
O 1.9569 0.0000 1.1033



[8]
10
Lattice="0.0000 4.0969 4.0969 4.0969 0.0000 4.0969 4.0969 4.0969 0.0000" Properties=species:S:1:pos:R:3 comment="PBE Sr2TmReO6, relaxed" dft_energy_ev_per_atom=-7.6226 magnetic_moment_mub_per_atom=0.200 pbc="T T T"
Sr 2.0485 2.0485 2.0485
Sr 6.1454 6.1454 6.1454
Tm 0.0000 0.0000 0.0000
Re 4.0969 4.0969 4.0969
O 4.0969 4.0969 2.1464
O 4.0969 2.1464 4.0969
O 6.0475 4.0969 4.0969
O 2.1464 4.0969 4.0969
O 4.0969 6.0475 4.0969
O 4.0969 4.0969 6.0475